1.
Density functional theory data (PBE) for AlPRuCl2 after structural relaxation.

Calculated values
- E above lowest polymorph (meV/atom) = 336
- space-group type = P4/mmm, No. 123
- N(E_F) (states/eV/cell) = 7.795
- energy (eV/cell) = -19.64
- total magnetic moment (Bohr magnetons per cell) = 3.05

Structure (POSCAR):
```
AlPRuCl2
1.0
4.488 0.000 0.000
0.000 4.488 0.000
0.000 0.000 5.077
Al P Ru Cl
1 1 1 2
Direct
0.000 0.000 0.000 Al
0.000 0.000 0.500 P
0.500 0.500 0.500 Ru
0.000 0.500 0.000 Cl
0.500 0.000 0.000 Cl
```

---

2.
Density functional theory data (PBE) for Mn2InPt after structural relaxation.

Calculated values
- space-group type = I4/mmm, No. 139
- N(E_F) (states/eV/cell) = 2.646
- energy of formation (eV per atom) = -0.10
- energy (eV/cell) = -27.51
- total magnetic moment (Bohr magnetons per cell) = 7.42

Structure (POSCAR):
```
Mn2InPt
1.0
-2.042 2.042 3.898
2.042 -2.042 3.898
2.042 2.042 -3.898
Mn In Pt
2 1 1
Direct
0.250 0.750 0.500 Mn
0.750 0.250 0.500 Mn
0.000 0.000 0.000 In
0.500 0.500 0.000 Pt
```